[1]
# KCuRe2 SCAN PBEsol geometry
# VASP energy: -160.75 eV per cell
# energy of formation from the pure elements: 1.243 eV/atom
# total magnetization: 0.0 μB/f.u.
# E above lowest polymorph: 2.02 eV per formula unit
# D(E_F): 0.732 states/eV/atom
data_KCuRe2
_symmetry_space_group_name_H-M 'P m m m'
_symmetry_Int_Tables_number 47
_symmetry_space_group_name_Hall '-P 2 2'
_cell_length_a 2.623
_cell_length_b 4.784
_cell_length_c 5.347
_cell_angle_alpha 90.00
_cell_angle_beta 90.00
_cell_angle_gamma 90.00
loop_
_atom_site_label
_atom_site_fract_x
_atom_site_fract_y
_atom_site_fract_z
_atom_site_occupancy
K1 0.000 0.000 0.000 1
Cu1 0.500 0.500 0.000 1
Re1 0.000 0.500 0.500 1
Re2 0.500 0.000 0.500 1

---

[2]
# KCuRe SCAN PBEsol geometry
# VASP energy: -183.32 eV per cell
# energy of formation from the pure elements: 0.988 eV/atom
# total magnetization: 0.0 μB/f.u.
# D(E_F): 0.992 states/eV/atom
data_KCuRe
_symmetry_space_group_name_H-M 'I 4 m m'
_symmetry_Int_Tables_number 107
_symmetry_space_group_name_Hall 'I 4 -2'
_cell_length_a 2.649
_cell_length_b 2.649
_cell_length_c 15.124
_cell_angle_alpha 90.00
_cell_angle_beta 90.00
_cell_angle_gamma 90.00
loop_
_atom_site_label
_atom_site_fract_x
_atom_site_fract_y
_atom_site_fract_z
_atom_site_occupancy
K1 0.000 0.000 0.000 1
Cu1 0.000 0.000 0.311 1
Re1 0.000 0.000 0.689 1